This record from Alexandria via LeMat-Bulk describes TlInHg after structural relaxation. The functional is PBEsol.

Summary:
Spin magnetization   0.000 μB/f.u.
Energy relative to the elements   0.016 eV per atom
Calculated volume   76.9 Å³ per cell
E   -2.044 eV/atom
Symmetry   Fmm2

Cell lengths 3.2241, 3.2241, 8.2209 Å; angles 96.90, 96.90, 112.80 degrees
Closest atoms and distances in Å follow each position.
Atoms (fractional coordinates):
Tl: 0.6634 0.6634 0.3268  2 Hg 3.21, 6 Tl 3.22-3.57, 2 In 3.34
Hg: 0.9973 0.9973 0.9946  2 In 3.10, 2 Tl 3.21, 4 Hg 3.22
In: 0.3393 0.3393 0.6786  2 Hg 3.10, 4 In 3.22, 2 Tl 3.34